Entry 1:
## ScPO6 (GGA-PBE)

Data for a relaxed structure of ScPO6.

Values from the calculation:
M_tot	1.99	μB per formula unit

Structure (CIF):
```
data_ScPO6
_space_group_name_H-M_alt 'P 1 21/c 1'
_space_group_IT_number 14
_cell_length_a 5.7380
_cell_length_b 9.6885
_cell_length_c 11.3507
_cell_angle_alpha 90.00
_cell_angle_beta 118.42
_cell_angle_gamma 90.00
loop_
_space_group_symop_operation_xyz
'x,y,z'
'-x,-y,-z'
'-x,y+1/2,-z+1/2'
'x,-y+1/2,z+1/2'
loop_
_atom_site_label
_atom_site_type_symbol
_atom_site_fract_x
_atom_site_fract_y
_atom_site_fract_z
_atom_site_occupancy
Sc1 Sc 0.1986 0.1868 0.1711 1
P1 P 0.1546 0.6734 0.6766 1
O1 O 0.0008 0.7095 0.5258 1
O2 O 0.0046 0.2249 0.7542 1
O3 O 0.1900 0.5151 0.6932 1
O4 O 0.2286 0.0208 0.6190 1
O5 O 0.3248 0.5144 0.0473 1
O6 O 0.4287 0.7448 0.7417 1
```

=====

Entry 2:
## Sc5PO5 (GGA-PBE)

Data for a relaxed structure of Sc5PO5.

Values from the calculation:
M_tot	0.00	μB per formula unit

Structure (CIF):
```
data_Sc5PO5
_space_group_name_H-M_alt 'C 1 2/m 1'
_space_group_IT_number 12
_cell_length_a 10.6397
_cell_length_b 4.7007
_cell_length_c 6.6422
_cell_angle_alpha 90.00
_cell_angle_beta 112.52
_cell_angle_gamma 90.00
loop_
_space_group_symop_operation_xyz
'x,y,z'
'-x,-y,-z'
'-x,y,-z'
'x,-y,z'
'x+1/2,y+1/2,z'
'-x+1/2,-y+1/2,-z'
'-x+1/2,y+1/2,-z'
'x+1/2,-y+1/2,z'
loop_
_atom_site_label
_atom_site_type_symbol
_atom_site_fract_x
_atom_site_fract_y
_atom_site_fract_z
_atom_site_occupancy
Sc1 Sc 0.0000 0.0000 0.0000 1
Sc2 Sc 0.1507 0.5000 0.7974 1
Sc3 Sc 0.2019 0.5000 0.3354 1
P1 P 0.0000 0.5000 0.0000 1
O1 O 0.0000 0.5000 0.5000 1
O2 O 0.1756 0.0000 0.8446 1
O3 O 0.1921 0.0000 0.3241 1
```

=====

ΔE_f (raw) values, unit eV/atom, following the record order: -2.0917, -2.7016.